A crystal of TaCdW2 relaxed with PBEsol, computed with SCAN.

Geometry as CIF:
```
data_TaCdW2
_space_group_name_H-M_alt 'P m m 2'
_space_group_IT_number 25
_cell_length_a 2.7014
_cell_length_b 4.3811
_cell_length_c 5.7327
_cell_angle_alpha 90.00
_cell_angle_beta 90.00
_cell_angle_gamma 90.00
loop_
_space_group_symop_operation_xyz
'x,y,z'
'-x,-y,z'
'-x,y,z'
'x,-y,z'
loop_
_atom_site_label
_atom_site_fract_x
_atom_site_fract_y
_atom_site_fract_z
Ta1 0.0000 0.0000 0.0000
Cd1 0.5000 0.5000 0.7440
W1 0.0000 0.0000 0.4805
W2 0.5000 0.5000 0.2505
```

Output
The uncorrected energy comes out at -4.3104 Ry per atom. The formation energy is 0.448 eV/atom.